[1]
Here is a relaxed PrBi12Rh4 crystal from the Alexandria database. Energies are from PBE.

Lattice parameters (Å, degrees): 8.5327 8.5327 8.5327 109.47 109.47 109.47
Element x y z (fractional)
Bi (0.6668, 0.8260, 0.1591)
Bi (0.1740, 0.8409, 0.3332)
Bi (0.8409, 0.3332, 0.1740)
Bi (0.3332, 0.1740, 0.8409)
Rh (0.0000, 0.5000, 0.0000)
Bi (0.5077, 0.8409, 0.6668)
Bi (0.6668, 0.5077, 0.8409)
Rh (0.5000, 0.5000, 0.5000)
Rh (0.5000, 0.0000, 0.0000)
Bi (0.1591, 0.3332, 0.4923)
Bi (0.4923, 0.1591, 0.3332)
Bi (0.8409, 0.6668, 0.5077)
Bi (0.3332, 0.4923, 0.1591)
Bi (0.8260, 0.1591, 0.6668)
Rh (0.0000, 0.0000, 0.5000)
Bi (0.1591, 0.6668, 0.8260)
Pr (0.0000, 0.0000, 0.0000)

## Properties
calculated total energy	-4.98	eV/atom
DOS at the Fermi energy	8.94	states/eV/cell
energy relative to the elements	-0.234	eV/atom

[2]
Here is a relaxed Pr3BiRh crystal from the Alexandria database. Energies are from PBE.

Lattice parameters (Å, degrees): 4.6669 8.1611 8.8170 114.57 90.00 90.00
Element x y z (fractional)
Pr (0.7500, 0.6697, 0.4086)
Pr (0.2500, 0.6699, 0.0765)
Pr (0.7500, 0.3301, 0.9235)
Bi (0.7500, 0.6786, 0.8023)
Pr (0.2500, 0.3303, 0.5914)
Pr (0.7500, 0.0425, 0.2445)
Pr (0.2500, 0.9575, 0.7555)
Rh (0.7500, 0.0782, 0.5997)
Rh (0.2500, 0.9218, 0.4003)
Bi (0.2500, 0.3214, 0.1977)

## Properties
ΔE to the lowest computed polymorph	0.0	meV/atom
calculated total energy	-5.76	eV/atom
DOS at the Fermi energy	10.11	states/eV/cell
energy relative to the elements	-0.642	eV/atom

[3]
Here is a relaxed Pr2Bi2Rh3 crystal from the Alexandria database. Energies are from PBE.

Lattice parameters (Å, degrees): 7.6328 7.6328 7.6328 109.47 109.47 109.47
Element x y z (fractional)
Rh (0.7314, 0.2500, 0.4814)
Pr (0.5204, 0.0204, 0.0204)
Rh (0.2500, 0.0186, 0.2686)
Rh (0.7686, 0.7500, 0.0186)
Pr (0.0000, 0.0000, 0.4796)
Bi (0.5000, 0.9065, 0.5000)
Pr (0.5000, 0.4796, 0.5000)
Rh (0.5186, 0.2686, 0.7500)
Pr (0.9796, 0.5000, 0.0000)
Rh (0.9814, 0.2314, 0.2500)
Bi (0.0935, 0.5935, 0.5935)
Bi (0.4065, 0.5000, 0.0000)
Bi (0.0000, 0.0000, 0.9065)
Rh (0.7500, 0.4814, 0.2314)

## Properties
ΔE to the lowest computed polymorph	0.0	meV/atom
calculated total energy	-6.24	eV/atom
DOS at the Fermi energy	8.03	states/eV/cell
energy relative to the elements	-0.611	eV/atom

[4]
Here is a relaxed Pr8BiRh2 crystal from the Alexandria database. Energies are from PBE.

Lattice parameters (Å, degrees): 5.7494 8.3176 8.3176 115.70 97.41 97.41
Element x y z (fractional)
Pr (0.9363, 0.6682, 0.9187)
Pr (0.0637, 0.3318, 0.0813)
Pr (0.9363, 0.9187, 0.6682)
Bi (0.5000, 0.0000, 0.0000)
Pr (0.6961, 0.3995, 0.3995)
Pr (0.0637, 0.0813, 0.3318)
Pr (0.5000, 0.7516, 0.2484)
Rh (0.0000, 0.2925, 0.7075)
Pr (0.3039, 0.6005, 0.6005)
Rh (0.0000, 0.7075, 0.2925)
Pr (0.5000, 0.2484, 0.7516)

## Properties
calculated total energy	-5.52	eV/atom
DOS at the Fermi energy	12.86	states/eV/cell
energy relative to the elements	-0.352	eV/atom

[5]
Here is a relaxed PrBiRhSe crystal from the Alexandria database. Energies are from PBE.

Lattice parameters (Å, degrees): 4.9251 4.9251 8.4273 90.00 90.00 90.00
Element x y z (fractional)
Rh (0.5000, 0.5000, 0.0000)
Bi (0.0000, 0.5000, 0.8542)
Se (0.0000, 0.0000, 0.5000)
Bi (0.5000, 0.0000, 0.1458)
Pr (0.0000, 0.5000, 0.3083)
Pr (0.5000, 0.0000, 0.6917)
Se (0.5000, 0.5000, 0.5000)
Rh (0.0000, 0.0000, 0.0000)

## Properties
formation energy from raw total energies	-0.89	eV per atom
calculated total energy	-5.76	eV/atom
DOS at the Fermi energy	4.49	states/eV/cell

[6]
Here is a relaxed Pr4Bi2Ru crystal from the Alexandria database. Energies are from PBE.

Lattice parameters (Å, degrees): 5.2520 5.2520 9.3888 106.24 106.24 90.00
Element x y z (fractional)
Pr (0.8288, 0.8288, 0.6575)
Pr (0.1712, 0.1712, 0.3425)
Bi (0.6392, 0.6392, 0.2784)
Ru (0.0000, 0.0000, 0.0000)
Pr (0.0000, 0.5000, 0.0000)
Bi (0.3608, 0.3608, 0.7216)
Pr (0.5000, 0.0000, 0.0000)

## Properties
ΔE to the lowest computed polymorph	36.9	meV/atom
calculated total energy	-5.63	eV/atom
DOS at the Fermi energy	5.87	states/eV/cell
energy relative to the elements	-0.463	eV/atom

[7]
Here is a relaxed Pr3BiRu crystal from the Alexandria database. Energies are from PBE.

Lattice parameters (Å, degrees): 5.4855 5.4855 5.4855 90.00 90.00 90.00
Element x y z (fractional)
Pr (0.0000, 0.5000, 0.0000)
Bi (0.5000, 0.5000, 0.5000)
Ru (0.0000, 0.0000, 0.0000)
Pr (0.0000, 0.0000, 0.5000)
Pr (0.5000, 0.0000, 0.0000)

## Properties
calculated total energy	-5.80	eV/atom
DOS at the Fermi energy	4.63	states/eV/cell
energy relative to the elements	-0.304	eV/atom

[8]
Here is a relaxed Pr4BiRu crystal from the Alexandria database. Energies are from PBE.

Lattice parameters (Å, degrees): 6.4248 8.6707 8.5047 113.80 103.56 106.33
Element x y z (fractional)
Pr (0.3599, 0.9338, 0.6440)
Ru (0.7512, 0.0012, 0.0025)
Pr (0.0432, 0.2039, 0.8665)
Pr (0.3234, 0.6627, 0.8665)
Bi (0.3753, 0.6253, 0.2506)
Pr (0.6766, 0.3373, 0.1335)
Pr (0.6401, 0.0662, 0.3560)
Pr (0.7842, 0.7102, 0.6440)
Ru (0.2488, 0.9988, 0.9975)
Pr (0.9568, 0.7961, 0.1335)
Pr (0.2158, 0.2898, 0.3560)
Bi (0.6247, 0.3747, 0.7494)

## Properties
calculated total energy	-5.77	eV/atom
DOS at the Fermi energy	11.69	states/eV/cell
energy relative to the elements	-0.395	eV/atom

[9]
Here is a relaxed Pr8Bi2Ru crystal from the Alexandria database. Energies are from PBE.

Lattice parameters (Å, degrees): 4.8309 7.6927 10.1794 98.46 103.73 90.00
Element x y z (fractional)
Pr (0.9957, 0.2205, 0.9914)
Pr (0.6401, 0.0328, 0.2801)
Pr (0.4065, 0.4895, 0.8130)
Pr (0.5935, 0.5105, 0.1870)
Pr (0.7850, 0.6507, 0.5700)
Pr (0.3599, 0.9672, 0.7199)
Ru (0.5000, 0.0000, 0.0000)
Pr (0.2150, 0.3493, 0.4300)
Bi (0.1822, 0.7730, 0.3644)
Pr (0.0043, 0.7795, 0.0086)
Bi (0.8178, 0.2270, 0.6356)

## Properties
calculated total energy	-5.38	eV/atom
DOS at the Fermi energy	11.94	states/eV/cell
energy relative to the elements	-0.350	eV/atom

[10]
Here is a relaxed Pr2BiRu crystal from the Alexandria database. Energies are from PBE.

Lattice parameters (Å, degrees): 4.1239 4.1239 8.5235 76.00 76.00 60.00
Element x y z (fractional)
Pr (0.2669, 0.2669, 0.1994)
Bi (0.5000, 0.5000, 0.5000)
Ru (0.0000, 0.0000, 0.0000)
Pr (0.7331, 0.7331, 0.8006)

## Properties
calculated total energy	-5.89	eV/atom
DOS at the Fermi energy	3.44	states/eV/cell
energy relative to the elements	-0.214	eV/atom

[11]
Here is a relaxed Pr5Bi2Ru crystal from the Alexandria database. Energies are from PBE.

Lattice parameters (Å, degrees): 6.1605 5.9929 16.4102 90.00 90.00 120.93
Element x y z (fractional)
Pr (0.2495, 0.4990, 0.7500)
Bi (0.7511, 0.5023, 0.0550)
Pr (0.4203, 0.8406, 0.3801)
Pr (0.0807, 0.1615, 0.1213)
Pr (0.0807, 0.1615, 0.3787)
Pr (0.7505, 0.5010, 0.2500)
Ru (0.7481, 0.4963, 0.7500)
Pr (0.9193, 0.8385, 0.6213)
Pr (0.5797, 0.1594, 0.6199)
Ru (0.2519, 0.5037, 0.2500)
Pr (0.9193, 0.8385, 0.8787)
Bi (0.2489, 0.4977, 0.9450)
Bi (0.2489, 0.4977, 0.5550)
Pr (0.4203, 0.8406, 0.1199)
Bi (0.7511, 0.5023, 0.4450)
Pr (0.5797, 0.1594, 0.8801)

## Properties
calculated total energy	-5.43	eV/atom
DOS at the Fermi energy	12.85	states/eV/cell
energy relative to the elements	-0.317	eV/atom

[12]
Here is a relaxed Pr4Bi2Ru crystal from the Alexandria database. Energies are from PBE.

Lattice parameters (Å, degrees): 6.9411 6.9247 9.9784 90.00 110.09 90.00
Element x y z (fractional)
Pr (0.8747, 0.2500, 0.5745)
Ru (0.8410, 0.2500, 0.8287)
Bi (0.2755, 0.2500, 0.4547)
Bi (0.7290, 0.7500, 0.0666)
Bi (0.2710, 0.2500, 0.9334)
Pr (0.4737, 0.0028, 0.2381)
Pr (0.4737, 0.4972, 0.2381)
Pr (0.0815, 0.7500, 0.8820)
Pr (0.5263, 0.9972, 0.7619)
Ru (0.1590, 0.7500, 0.1713)
Pr (0.9185, 0.2500, 0.1180)
Pr (0.5263, 0.5028, 0.7619)
Bi (0.7245, 0.7500, 0.5453)
Pr (0.1253, 0.7500, 0.4255)

## Properties
ΔE to the lowest computed polymorph	0.0	meV/atom
calculated total energy	-5.66	eV/atom
DOS at the Fermi energy	10.34	states/eV/cell
energy relative to the elements	-0.499	eV/atom

[13]
Here is a relaxed Pr12Bi6Ru crystal from the Alexandria database. Energies are from PBE.

Lattice parameters (Å, degrees): 9.0095 9.0095 9.0095 99.27 99.27 99.27
Element x y z (fractional)
Bi (0.3513, 0.6867, 0.8789)
Pr (0.0052, 0.6874, 0.9447)
Pr (0.0553, 0.9948, 0.3126)
Pr (0.6874, 0.9447, 0.0052)
Pr (0.9948, 0.3126, 0.0553)
Pr (0.5511, 0.1960, 0.4200)
Pr (0.4489, 0.8040, 0.5800)
Pr (0.9447, 0.0052, 0.6874)
Bi (0.6487, 0.3133, 0.1211)
Pr (0.4200, 0.5511, 0.1960)
Pr (0.1960, 0.4200, 0.5511)
Bi (0.8789, 0.3513, 0.6867)
Pr (0.5800, 0.4489, 0.8040)
Ru (0.0000, 0.0000, 0.0000)
Bi (0.6867, 0.8789, 0.3513)
Bi (0.3133, 0.1211, 0.6487)
Pr (0.3126, 0.0553, 0.9948)
Bi (0.1211, 0.6487, 0.3133)
Pr (0.8040, 0.5800, 0.4489)

## Properties
calculated total energy	-5.24	eV/atom
DOS at the Fermi energy	16.89	states/eV/cell
energy relative to the elements	-0.503	eV/atom

[14]
Here is a relaxed Pr6Bi3Ru crystal from the Alexandria database. Energies are from PBE.

Lattice parameters (Å, degrees): 6.6639 8.8265 11.4222 90.00 90.57 90.00
Element x y z (fractional)
Pr (0.8644, 0.6560, 0.5654)
Pr (0.6327, 0.4633, 0.2698)
Pr (0.8860, 0.6983, 0.9416)
Pr (0.6140, 0.1983, 0.5584)
Pr (0.3860, 0.8017, 0.4416)
Pr (0.6356, 0.1560, 0.9346)
Pr (0.3673, 0.5367, 0.7302)
Bi (0.0000, 0.0000, 0.5000)
Ru (0.0000, 0.0000, 0.0000)
Bi (0.0864, 0.6180, 0.2400)
Bi (0.4136, 0.1180, 0.2600)
Pr (0.1327, 0.0367, 0.7698)
Pr (0.8673, 0.9633, 0.2302)
Bi (0.5864, 0.8820, 0.7400)
Bi (0.5000, 0.5000, 0.0000)
Pr (0.1356, 0.3440, 0.4346)
Pr (0.3644, 0.8440, 0.0654)
Bi (0.9136, 0.3820, 0.7600)
Ru (0.5000, 0.5000, 0.5000)
Pr (0.1140, 0.3017, 0.0584)

## Properties
calculated total energy	-5.51	eV/atom
DOS at the Fermi energy	16.92	states/eV/cell
energy relative to the elements	-0.547	eV/atom

[15]
Here is a relaxed Pr4BiRu2 crystal from the Alexandria database. Energies are from PBE.

Lattice parameters (Å, degrees): 8.8664 8.8638 7.3501 108.11 108.20 119.71
Element x y z (fractional)
Pr (0.8765, 0.5509, 0.5906)
Ru (0.4812, 0.3902, 0.6243)
Pr (0.4978, 0.7974, 0.9367)
Ru (0.8148, 0.8932, 0.4478)
Bi (0.9237, 0.9499, 0.8932)
Ru (0.6422, 0.2315, 0.1250)
Bi (0.1979, 0.6719, 0.3919)
Pr (0.7761, 0.1889, 0.7821)
Pr (0.2741, 0.0865, 0.7256)
Pr (0.3371, 0.0235, 0.2256)
Pr (0.0468, 0.2476, 0.4375)
Ru (0.1439, 0.5658, 0.9482)
Pr (0.8005, 0.6274, 0.0907)
Pr (0.4374, 0.5251, 0.2808)

## Properties
calculated total energy	-6.22	eV/atom
DOS at the Fermi energy	8.67	states/eV/cell
energy relative to the elements	-0.280	eV/atom

[16]
Here is a relaxed Pr5Bi4Ru crystal from the Alexandria database. Energies are from PBE.

Lattice parameters (Å, degrees): 6.5116 7.8802 7.8802 80.17 65.60 65.60
Element x y z (fractional)
Pr (0.1072, 0.6365, 0.1769)
Bi (0.4258, 0.3917, 0.7849)
Pr (0.2841, 0.8231, 0.6365)
Bi (0.6023, 0.6083, 0.2151)
Bi (0.8174, 0.7849, 0.6083)
Pr (0.9206, 0.3635, 0.8231)
Ru (0.9811, 0.0000, 0.0000)
Bi (0.2106, 0.2151, 0.3917)
Pr (0.7437, 0.1769, 0.3635)
Pr (0.4175, 0.0000, 0.0000)

## Properties
calculated total energy	-5.50	eV/atom
DOS at the Fermi energy	5.45	states/eV/cell
energy relative to the elements	-0.633	eV/atom

[17]
Here is a relaxed Pr7Bi2Ru2 crystal from the Alexandria database. Energies are from PBE.

Lattice parameters (Å, degrees): 8.5129 6.4702 6.4702 103.82 94.01 94.01
Element x y z (fractional)
Pr (0.1873, 0.8510, 0.4844)
Pr (0.8127, 0.5156, 0.1490)
Bi (0.5000, 0.7961, 0.2039)
Pr (0.8127, 0.1490, 0.5156)
Bi (0.5000, 0.2039, 0.7961)
Pr (0.3878, 0.3006, 0.3006)
Pr (0.6122, 0.6994, 0.6994)
Ru (0.0785, 0.3465, 0.3465)
Pr (0.1873, 0.4844, 0.8510)
Ru (0.9215, 0.6535, 0.6535)
Pr (0.0000, 0.0000, 0.0000)

## Properties
calculated total energy	-5.79	eV/atom
DOS at the Fermi energy	11.17	states/eV/cell
energy relative to the elements	-0.356	eV/atom

[18]
Here is a relaxed Pr3BiS6 crystal from the Alexandria database. Energies are from PBE.

Lattice parameters (Å, degrees): 7.0511 8.8719 8.8719 103.02 90.00 90.00
Element x y z (fractional)
Pr (0.4823, 0.9147, 0.7123)
Pr (0.4823, 0.2877, 0.0853)
Pr (0.9823, 0.0853, 0.2877)
S (0.6845, 0.3084, 0.3633)
Bi (0.9991, 0.1762, 0.8238)
Pr (0.8914, 0.5971, 0.4029)
S (0.7418, 0.9909, 0.0091)
S (0.1244, 0.7700, 0.2300)
S (0.1976, 0.0968, 0.5680)
Pr (0.3914, 0.4029, 0.5971)
S (0.2418, 0.0091, 0.9909)
S (0.6244, 0.2300, 0.7700)
S (0.6976, 0.9032, 0.4320)
S (0.1845, 0.3633, 0.3084)
Pr (0.9823, 0.7123, 0.9147)
Bi (0.4991, 0.8238, 0.1762)
S (0.1845, 0.6916, 0.6367)
S (0.1976, 0.4320, 0.9032)
S (0.6976, 0.5680, 0.0968)
S (0.6845, 0.6367, 0.6916)

## Properties
formation energy from raw total energies	-1.60	eV per atom
ΔE to the lowest computed polymorph	3.2	meV/atom
calculated total energy	-5.90	eV/atom
DOS at the Fermi energy	0.00	states/eV/cell

[19]
Here is a relaxed Pr2BiS6 crystal from the Alexandria database. Energies are from PBE.

Lattice parameters (Å, degrees): 6.4819 6.4819 12.8013 90.00 90.00 90.00
Element x y z (fractional)
S (0.8099, 0.1901, 0.1573)
Pr (0.5000, 0.5000, 0.1655)
S (0.1901, 0.8099, 0.8427)
S (0.3099, 0.3099, 0.6573)
S (0.2063, 0.7937, 0.5000)
S (0.6901, 0.6901, 0.6573)
S (0.6901, 0.6901, 0.3427)
Pr (0.5000, 0.5000, 0.8345)
Pr (0.0000, 0.0000, 0.6655)
Bi (0.5000, 0.5000, 0.5000)
S (0.7063, 0.7063, 0.0000)
S (0.2937, 0.2937, 0.0000)
S (0.8099, 0.1901, 0.8427)
Bi (0.0000, 0.0000, 0.0000)
S (0.1901, 0.8099, 0.1573)
S (0.7937, 0.2063, 0.5000)
Pr (0.0000, 0.0000, 0.3345)
S (0.3099, 0.3099, 0.3427)

## Properties
formation energy from raw total energies	-0.80	eV per atom
calculated total energy	-5.04	eV/atom
DOS at the Fermi energy	20.05	states/eV/cell